--- P ---
Material: CaCeV2O8
Method: DFT, GGA+U
State: optimized geometry

abc: 6.0760 6.0760 6.0760
angles: 106.22 106.22 116.19
Atoms (fractional coordinates):
O 0.8550 0.6671 0.1880
O 0.3329 0.1450 0.8120
O 0.3329 0.5209 0.1880
O 0.4791 0.6671 0.8120
O 0.9291 0.2502 0.3210
O 0.9291 0.6081 0.6790
O 0.3919 0.0709 0.3210
O 0.7498 0.0709 0.6790
V 0.7500 0.2500 0.5000
V 0.5000 0.5000 0.0000
Ca 0.0000 0.0000 0.0000
Ce 0.2500 0.7500 0.5000

space group	I-4m2, No. 119
size of the total moment	0.000	μB/cell
DOS(E_F)	0.0	states/eV/cell

--- Q ---
Material: CaCeV2O8
Method: DFT, GGA+U
State: optimized geometry

abc: 5.7866 5.7866 6.8078
angles: 90.00 90.00 120.00
Atoms (fractional coordinates):
O 0.8369 0.6724 0.2749
O 0.1631 0.3276 0.7251
O 0.1645 0.8369 0.7251
O 0.6667 0.3333 0.9545
O 0.8355 0.1631 0.2749
O 0.6724 0.8355 0.7251
O 0.3333 0.6667 0.0455
O 0.3276 0.1645 0.2749
V 0.3333 0.6667 0.8036
V 0.6667 0.3333 0.1964
Ce 0.0000 0.0000 0.5000
Ca 0.0000 0.0000 0.0000

space group	P-3m1, No. 164
size of the total moment	0.000	μB/cell
DOS(E_F)	0.0	states/eV/cell

Most stable one: P, least stable one: Q.